1.
Entry from the Alexandria database: a geometry-optimized CaTl2Os structure (PBE-GGA).

Cell and atoms, written as POSCAR:
```
CaTl2Os
1.0
3.4926 0.0000 0.0000
0.0000 3.4926 0.0000
0.0000 0.0000 8.0396
Ca Tl Os
1 2 1
Direct
0.0000 0.0000 0.0000 Ca
0.0000 0.0000 0.3923 Tl
0.5000 0.5000 0.6767 Tl
0.5000 0.5000 0.2225 Os
```

calculated volume	24.52	Å³/atom
DFT total energy	-16.223	eV per cell
ΔH_f (0 K)	435	meV per atom
SG	P4mm, No. 99



2.
Entry from the Alexandria database: a geometry-optimized KMgSeN2 structure (PBE-GGA).

Cell and atoms, written as POSCAR:
```
KMgSeN2
1.0
4.4985 0.0000 0.0000
0.0000 4.4985 0.0000
0.0000 0.0000 5.2998
K Mg Se N
1 1 1 2
Direct
0.0000 0.0000 0.0000 K
0.5000 0.5000 0.5000 Mg
0.5000 0.5000 0.0000 Se
0.0000 0.5000 0.5000 N
0.5000 0.0000 0.5000 N
```

ΔE_f (raw)	0.815	eV/atom
calculated volume	21.45	Å³/atom
DFT total energy	-18.753	eV per cell
ΔE to the lowest computed polymorph	0.000	eV/atom
SG	P4/mmm, No. 123



3.
Entry from the Alexandria database: a geometry-optimized DyYHo2 structure (PBE-GGA).

Cell and atoms, written as POSCAR:
```
DyYHo2
1.0
5.0098 0.0000 0.0000
0.0000 5.0098 0.0000
0.0000 0.0000 5.0080
Dy Y Ho
1 1 2
Direct
0.0000 0.0000 0.0000 Dy
0.5000 0.5000 0.0000 Y
0.0000 0.5000 0.5000 Ho
0.5000 0.0000 0.5000 Ho
```

calculated volume	31.42	Å³/atom
DFT total energy	-20.127	eV per cell
ΔE to the lowest computed polymorph	0.019	eV/atom
ΔH_f (0 K)	24	meV per atom
SG	P4/mmm, No. 123



4.
Entry from the Alexandria database: a geometry-optimized Ta6O structure (PBE-GGA).

Cell and atoms, written as POSCAR:
```
Ta6O
1.0
2.4516 -4.8501 0.0000
2.4516 4.8501 0.0000
-0.4994 0.0000 4.8736
Ta O
6 1
Direct
0.0923 0.4274 0.7546 Ta
0.2130 0.2130 0.2823 Ta
0.4274 0.0923 0.7546 Ta
0.5726 0.9077 0.2454 Ta
0.7870 0.7870 0.7177 Ta
0.9077 0.5726 0.2454 Ta
0.5000 0.5000 0.0000 O
```

ΔE_f (raw)	-0.551	eV/atom
calculated volume	16.56	Å³/atom
DFT total energy	-79.934	eV per cell
SG	C2/m, No. 12